[1]
Computed, not measured: crystalline ReSe5 at its relaxed geometry at the PBE level of DFT.

E_tot = -0.292 Ry/atom
ΔE to the lowest computed polymorph = 844 meV per atom
Spin magnetization = 0.82 μB per atom
Energy relative to the elements, uncorrected = 1.012 eV per atom

Geometry as POSCAR:
```
ReSe5
1.0
4.999 0.000 0.000
-2.500 4.330 0.000
0.000 0.000 8.325
Re Se
1 5
Direct
0.000 0.000 0.000
0.000 0.500 0.500
0.333 0.667 0.000
0.500 0.000 0.500
0.500 0.500 0.500
0.667 0.333 0.000
```

[2]
Computed, not measured: crystalline MgCd2Rh3 at its relaxed geometry at the PBE level of DFT.

Formation enthalpy at 0 K = -0.19 eV per atom
E_tot = -0.326 Ry/atom
Spin magnetization = 0.00 μB per atom

Geometry as POSCAR:
```
MgCd2Rh3
1.0
2.259 -6.778 0.000
2.259 6.778 0.000
0.000 0.000 6.408
Mg Cd Rh
2 4 6
Direct
0.166 0.834 0.000
0.834 0.166 0.000
0.166 0.834 0.500
0.500 0.500 0.000
0.500 0.500 0.500
0.834 0.166 0.500
0.000 0.000 0.244
0.000 0.000 0.756
0.331 0.669 0.238
0.331 0.669 0.762
0.669 0.331 0.238
0.669 0.331 0.762
```

[3]
Computed, not measured: crystalline KMg2SnRh at its relaxed geometry at the PBE level of DFT.

Formation enthalpy at 0 K = -0.27 eV per atom
E_tot = -0.250 Ry/atom
Spin magnetization = 0.00 μB per atom

Geometry as POSCAR:
```
KMg2SnRh
1.0
5.158 0.000 0.000
0.000 5.158 0.000
0.000 0.000 5.085
K Mg Sn Rh
1 2 1 1
Direct
0.000 0.000 0.000
0.000 0.500 0.500
0.500 0.000 0.500
0.500 0.500 0.000
0.500 0.500 0.500
```